VASP calculation (meta-GGA SCAN) on CaInHg2 at its PBEsol-relaxed geometry.

It has space group C2/m (No. 12), with a = 8.835 Å, b = 5.077 Å, c = 5.076 Å, α = 90.00°, β = 124.96° and γ = 90.00°. Symmetry generates all atoms from Ca at (0.000, 0.000, 0.000), In at (0.000, 0.500, 0.500) and Hg at (0.250, 0.000, 0.750).

The calculation puts the density of states at the Fermi level at 0.419 states/eV/atom.

VASP calculation (meta-GGA SCAN) on CaInHg2 at its PBEsol-relaxed geometry.

It has space group Pm (No. 6), with a = 3.591 Å, b = 4.653 Å, c = 6.153 Å, α = 90.00°, β = 106.42° and γ = 90.00°. Symmetry generates all atoms from Ca at (0.000, 0.000, 0.000), In at (0.324, 0.500, 0.654), Hg at (0.589, 0.500, 0.181) and Hg at (0.730, 0.000, 0.477).

The calculation puts the density of states at the Fermi level at 0.403 states/eV/atom.

VASP calculation (meta-GGA SCAN) on CaInHg2 at its PBEsol-relaxed geometry.

It has space group Cm (No. 8), with a = 10.803 Å, b = 4.244 Å, c = 4.682 Å, α = 90.00°, β = 114.99° and γ = 90.00°. Symmetry generates all atoms from Ca at (0.000, 0.000, 0.000), In at (0.259, 0.500, 0.262), Hg at (0.003, 0.500, 0.503) and Hg at (0.246, 0.000, 0.748).

The calculation puts the density of states at the Fermi level at 0.485 states/eV/atom.

no.,energy of formation (eV/atom),energy (eV/atom)
1,-0.488,-45.33
2,-0.392,-45.24
3,-0.395,-45.24